(1)
The following is a DFT calculation (PBE-GGA) of a relaxed structure of AcGeRu2C.

Cell: 4.206 6.053 7.409 Å, 90.00 90.00 110.33°
Atoms (fractional coordinates):
Ge: 0.727 0.455 0.750
Ge: 0.273 0.545 0.250
Ac: 0.554 0.108 0.250
Ac: 0.446 0.892 0.750
Ru: 0.838 0.677 0.440
Ru: 0.838 0.677 0.060
Ru: 0.162 0.323 0.940
Ru: 0.162 0.323 0.560
C: 0.000 0.000 0.500
C: 0.000 0.000 0.000

Results
calculated formation energy = -0.36 eV/atom
magnetic moment = 0.00 μB per formula unit
symmetry = Cmcm (63)

=====

(2)
The following is a DFT calculation (PBE-GGA) of a relaxed structure of Ac2Sc2Ge2C.

Cell: 4.557 4.557 8.924 Å, 104.79 104.79 90.00°
Atoms (fractional coordinates):
Ge: 0.380 0.380 0.761
Ge: 0.620 0.620 0.239
Ac: 0.164 0.164 0.328
Ac: 0.836 0.836 0.672
Sc: 0.000 0.500 0.000
Sc: 0.500 0.000 0.000
C: 0.000 0.000 0.000

Results
calculated formation energy = -0.76 eV/atom
magnetic moment = 0.00 μB per formula unit
symmetry = I4/mmm (139)

=====

(3)
The following is a DFT calculation (PBE-GGA) of a relaxed structure of AcTc2GeC.

Cell: 4.217 5.991 7.560 Å, 90.00 90.00 110.60°
Atoms (fractional coordinates):
Tc: 0.170 0.340 0.560
Tc: 0.830 0.660 0.440
Tc: 0.830 0.660 0.060
Tc: 0.170 0.340 0.940
Ac: 0.453 0.906 0.750
Ac: 0.547 0.094 0.250
Ge: 0.731 0.461 0.750
Ge: 0.269 0.539 0.250
C: 0.000 0.000 0.000
C: 0.000 0.000 0.500

Results
calculated formation energy = -0.26 eV/atom
magnetic moment = 0.00 μB per formula unit
symmetry = Cmcm (63)

=====

(4)
The following is a DFT calculation (PBE-GGA) of a relaxed structure of Ac2Tc2Ge2C.

Cell: 4.321 6.285 6.476 Å, 73.33 70.51 69.90°
Atoms (fractional coordinates):
Ge: 0.821 0.621 0.738
Ge: 0.179 0.379 0.262
Tc: 0.809 0.301 0.082
Tc: 0.191 0.699 0.918
C: 0.000 0.000 0.000
Ac: 0.560 0.179 0.702
Ac: 0.440 0.821 0.298

Results
calculated formation energy = -0.48 eV/atom
magnetic moment = 0.00 μB per formula unit
symmetry = C2/m (12)

=====

(5)
The following is a DFT calculation (PBE-GGA) of a relaxed structure of AcTc2Ge2C.

Cell: 4.250 4.250 5.696 Å, 90.00 90.00 90.00°
Atoms (fractional coordinates):
Tc: 0.000 0.500 0.000
Tc: 0.500 0.000 0.000
C: 0.000 0.000 0.000
Ge: 0.500 0.500 0.269
Ge: 0.500 0.500 0.731
Ac: 0.000 0.000 0.500

Results
calculated formation energy = -0.34 eV/atom
magnetic moment = 0.00 μB per formula unit
symmetry = P4/mmm (123)

=====

(6)
The following is a DFT calculation (PBE-GGA) of a relaxed structure of Ac3HC2N6.

Cell: 6.082 6.082 5.472 Å, 90.00 90.00 120.00°
Each line ends with the local moment (μB).
Atoms (fractional coordinates):
Ac: 0.667 0.333 0.279  0.00
Ac: 0.333 0.667 0.721  0.00
Ac: 0.000 0.000 0.000  0.02
C: 0.333 0.667 0.234  0.01
C: 0.667 0.333 0.766  0.01
N: 0.590 0.795 0.240  0.04
N: 0.795 0.205 0.760  0.04
N: 0.205 0.410 0.240  0.04
N: 0.205 0.795 0.240  0.04
N: 0.795 0.590 0.760  0.04
N: 0.410 0.205 0.760  0.04
H: 0.000 0.000 0.500  0.32

Results
electronic total energy = -7.41 eV per atom
magnetic moment = 1.12 μB per formula unit
symmetry = P-3m1 (164)

=====

(7)
The following is a DFT calculation (PBE-GGA) of a relaxed structure of AcHCN2.

Cell: 4.094 4.939 7.957 Å, 90.00 90.00 114.49°
Atoms (fractional coordinates):
H: 0.917 0.834 0.750
H: 0.083 0.166 0.250
N: 0.630 0.260 0.950
N: 0.630 0.260 0.550
N: 0.370 0.740 0.050
N: 0.370 0.740 0.450
Ac: 0.782 0.565 0.250
Ac: 0.218 0.435 0.750
C: 0.500 0.000 0.500
C: 0.500 0.000 0.000

Results
electronic total energy = -7.40 eV per atom
magnetic moment = 0.00 μB per formula unit
symmetry = Cmcm (63)

=====

(8)
The following is a DFT calculation (PBE-GGA) of a relaxed structure of AcH2C2O7.

Cell: 5.135 5.135 8.332 Å, 72.05 72.05 60.00°
Each line ends with the local moment (μB).
Atoms (fractional coordinates):
H: 0.541 0.541 0.377  0.00
H: 0.459 0.459 0.623  0.00
O: 0.999 0.686 0.814  0.11
O: 0.001 0.499 0.186  0.11
O: 0.499 0.314 0.186  0.11
O: 0.501 0.999 0.814  0.11
O: 0.686 0.501 0.814  0.11
O: 0.500 0.500 0.500  0.20
O: 0.314 0.001 0.186  0.11
Ac: 0.000 0.000 0.000  0.01
C: 0.270 0.270 0.190  -0.01
C: 0.730 0.730 0.810  -0.01

Results
electronic total energy = -6.83 eV per atom
magnetic moment = 1.04 μB per formula unit
symmetry = R32 (155)

=====

(9)
The following is a DFT calculation (PBE-GGA) of a relaxed structure of AcHgC.

Cell: 4.125 4.617 9.608 Å, 105.84 90.00 116.53°
Atoms (fractional coordinates):
Ac: 0.913 0.826 0.169
Ac: 0.087 0.174 0.831
Hg: 0.681 0.362 0.578
Hg: 0.319 0.638 0.422
C: 0.416 0.832 0.968
C: 0.584 0.168 0.032

Results
calculated formation energy = -0.22 eV/atom
magnetic moment = 0.00 μB per formula unit
symmetry = C2/m (12)

=====

(10)
The following is a DFT calculation (PBE-GGA) of a relaxed structure of Ac6Hg2C.

Cell: 7.269 7.958 11.176 Å, 90.00 89.75 90.00°
Atoms (fractional coordinates):
Ac: 0.677 0.204 0.044
Ac: 0.323 0.796 0.956
Ac: 0.177 0.296 0.544
Ac: 0.890 0.980 0.736
Ac: 0.390 0.520 0.236
Ac: 0.808 0.681 0.048
Ac: 0.823 0.704 0.456
Ac: 0.110 0.020 0.264
Ac: 0.192 0.319 0.952
Ac: 0.610 0.480 0.764
Ac: 0.692 0.181 0.452
Ac: 0.308 0.819 0.548
Hg: 0.557 0.912 0.246
Hg: 0.443 0.088 0.754
Hg: 0.057 0.588 0.746
Hg: 0.943 0.412 0.254
C: 0.000 0.000 0.500
C: 0.500 0.500 0.000

Results
calculated formation energy = -0.18 eV/atom
magnetic moment = 0.00 μB per formula unit
symmetry = P2_1/c (14)

=====

(11)
The following is a DFT calculation (PBE-GGA) of a relaxed structure of AcHgC.

Cell: 7.128 5.314 8.685 Å, 107.70 81.70 41.83°
Atoms (fractional coordinates):
C: 0.168 0.257 0.783
C: 0.169 0.504 0.782
Ac: 0.446 0.198 0.975
Ac: 0.499 0.858 0.402
Hg: 0.947 0.944 0.472
Hg: 0.907 0.193 0.886

Results
calculated formation energy = 0.17 eV/atom
magnetic moment = 0.00 μB per formula unit
symmetry = P1 (1)

=====

(12)
The following is a DFT calculation (PBE-GGA) of a relaxed structure of Ac6Hg3C.

Cell: 7.251 8.814 11.066 Å, 90.00 86.30 90.00°
Atoms (fractional coordinates):
Ac: 0.182 0.350 0.441
Ac: 0.682 0.150 0.941
Ac: 0.318 0.850 0.059
Ac: 0.373 0.781 0.435
Ac: 0.627 0.219 0.565
Ac: 0.349 0.551 0.726
Ac: 0.651 0.449 0.274
Ac: 0.873 0.719 0.935
Ac: 0.127 0.281 0.065
Ac: 0.151 0.051 0.774
Ac: 0.849 0.949 0.226
Ac: 0.818 0.650 0.559
C: 0.000 0.000 0.000
C: 0.500 0.500 0.500
Hg: 0.500 0.500 0.000
Hg: 0.928 0.389 0.764
Hg: 0.428 0.111 0.264
Hg: 0.572 0.889 0.736
Hg: 0.000 0.000 0.500
Hg: 0.072 0.611 0.236

Results
calculated formation energy = -0.22 eV/atom
magnetic moment = 0.00 μB per formula unit
symmetry = P2_1/c (14)

=====

What is the magnetic moment in the first record?
0.00 μB per formula unit

=====

magnetic moment of number 9 (AcHgC)?
0.00 μB per formula unit